Entry 1:
Compound: ErZr
Source: OQMD
Functional: PBE
Structure: relaxed

The density comes out at 8.1 g/cm³. The size of the total moment is 0.02 Bohr magnetons per cell. The formation energy comes out at 1.1 kcal/mol of atoms.

The structure belongs to space group Pmc2_1 (No. 26); the cell edges are 5.3184, 10.2502 and 5.8165 Å and the angles 90.00°, 90.00° and 90.00°. The inequivalent atoms are Er at (0.0000, 0.0803, 0.0000), Er at (0.0000, 0.2575, 0.5173), Er at (0.5000, 0.2551, 0.1620), Zr at (0.0000, 0.4304, 0.9951), Zr at (0.5000, 0.0796, 0.6686) and Zr at (0.5000, 0.4257, 0.6818).

---

Entry 2:
Compound: CsLaNiSe3
Source: OQMD
Functional: PBE
Structure: relaxed

The density comes out at 4.7 g/cm³. The value obtained for the energy is -116.6 eV for the cell shown. The size of the total moment is 4.98 Bohr magnetons per cell.

The structure belongs to space group Pnma (No. 62); the cell edges are 16.0777, 4.2669 and 11.6684 Å and the angles 90.00°, 90.00° and 90.00°. The inequivalent atoms are Cs at (0.2289, 0.2500, 0.0211), La at (0.0200, 0.2500, 0.3420), Ni at (0.0128, 0.7500, 0.0871), Se at (0.0586, 0.7500, 0.8977), Se at (0.0955, 0.2500, 0.5738) and Se at (0.1217, 0.7500, 0.2305).

---

Entry 3:
Compound: Pr2Co3Ge5
Source: OQMD
Functional: PBE
Structure: relaxed

The density comes out at 7.9 g/cm³. The value obtained for the energy is -238.9 eV for the cell shown. The size of the total moment is 2.59 Bohr magnetons per cell.

The structure belongs to space group C2/c (No. 15); the cell edges are 11.3607, 11.9590 and 5.8852 Å and the angles 90.00°, 120.10° and 90.00°. The inequivalent atoms are Pr at (0.2349, 0.1353, 0.2346), Co at (0.0000, 0.4958, 0.7500), Co at (0.1031, 0.1375, 0.6173), Ge at (0.0000, 0.0060, 0.2500), Ge at (0.0000, 0.2668, 0.2500), Ge at (0.0000, 0.2767, 0.7500) and Ge at (0.1611, 0.4037, 0.1655).

---

Entry 4:
Compound: HfCoNiBi
Source: OQMD
Functional: PBE
Structure: relaxed

The density comes out at 12.3 g/cm³. The value obtained for the energy is -102.9 eV for the cell shown. The size of the total moment is 2.07 Bohr magnetons per cell.

The structure belongs to space group F-43m (No. 216); the cell edges are 6.4781, 6.4781 and 6.4781 Å and the angles 90.00°, 90.00° and 90.00°. The inequivalent atoms are Hf at (0.0000, 0.0000, 0.0000), Co at (0.0000, 0.0000, 0.5000), Ni at (0.2500, 0.2500, 0.7500) and Bi at (0.2500, 0.2500, 0.2500).

---

Entry 5:
Compound: BaUCd
Source: OQMD
Functional: PBE
Structure: relaxed

The density comes out at 7.6 g/cm³. The value obtained for the energy is -43.0 eV for the cell shown. The size of the total moment is 12.54 Bohr magnetons per cell.

The structure belongs to space group F-43m (No. 216); the cell edges are 7.5323, 7.5323 and 7.5323 Å and the angles 90.00°, 90.00° and 90.00°. The inequivalent atoms are Ba at (0.0000, 0.0000, 0.0000), U at (0.2500, 0.2500, 0.2500) and Cd at (0.0000, 0.0000, 0.5000).

---

Entry 6:
Compound: Rb2TmInO4
Source: OQMD
Functional: PBE
Structure: relaxed

The density comes out at 6.8 g/cm³. The value obtained for the energy is -45.9 eV for the cell shown. The size of the total moment is 0.00 Bohr magnetons per cell.

The structure belongs to space group P-3m1 (No. 164); the cell edges are 3.3855, 3.3855 and 12.7915 Å and the angles 90.00°, 90.00° and 120.00°. The inequivalent atoms are Rb at (0.3333, 0.6667, 0.2536), Tm at (0.0000, 0.0000, 0.0000), In at (0.0000, 0.0000, 0.5000), O at (0.3333, 0.6667, 0.5881) and O at (0.3333, 0.6667, 0.9112).

---

Entry 7:
Compound: RbThMo
Source: OQMD
Functional: PBE
Structure: relaxed

The density comes out at 7.3 g/cm³. The value obtained for the energy is -56.7 eV for the cell shown. The size of the total moment is 4.07 Bohr magnetons per cell.

The structure belongs to space group F-43m (No. 216); the cell edges are 7.2231, 7.2231 and 7.2231 Å and the angles 90.00°, 90.00° and 90.00°. The inequivalent atoms are Rb at (0.0000, 0.0000, 0.0000), Th at (0.0000, 0.0000, 0.5000) and Mo at (0.2500, 0.2500, 0.2500).

---

Entry 8:
Compound: Lu4CuNiC2
Source: OQMD
Functional: PBE
Structure: relaxed

The density comes out at 9.9 g/cm³. The value obtained for the energy is -47.9 eV for the cell shown. The size of the total moment is 0.03 Bohr magnetons per cell.

The structure belongs to space group P-6m2 (No. 187); the cell edges are 3.5396, 3.5396 and 13.0990 Å and the angles 90.00°, 90.00° and 120.00°. The inequivalent atoms are Lu at (0.0000, 0.0000, 0.1439), Lu at (0.6667, 0.3333, 0.3430), Cu at (0.0000, 0.0000, 0.5000), Ni at (0.6667, 0.3333, 0.0000) and C at (0.3333, 0.6667, 0.2480).

---

Entry 9:
Compound: TbYCd2Cu4
Source: OQMD
Functional: PBE
Structure: relaxed

The density comes out at 8.3 g/cm³. The size of the total moment is 0.01 Bohr magnetons per cell. The formation energy comes out at -4.8 kcal/mol of atoms.

The structure belongs to space group P4/mmm (No. 123); the cell edges are 4.6909, 4.6909 and 6.6339 Å and the angles 90.00°, 90.00° and 90.00°. The inequivalent atoms are Tb at (0.0000, 0.0000, 0.0000), Y at (0.5000, 0.5000, 0.5000), Cd at (0.0000, 0.0000, 0.5000), Cd at (0.5000, 0.5000, 0.0000) and Cu at (0.0000, 0.5000, 0.2499).

---

Entry 10:
Compound: BaCoGe
Source: OQMD
Functional: PBE
Structure: relaxed

The density comes out at 5.1 g/cm³. The value obtained for the energy is -48.3 eV for the cell shown. The size of the total moment is 10.67 Bohr magnetons per cell.

The structure belongs to space group F-43m (No. 216); the cell edges are 7.0478, 7.0478 and 7.0478 Å and the angles 90.00°, 90.00° and 90.00°. The inequivalent atoms are Ba at (0.0000, 0.0000, 0.0000), Co at (0.0000, 0.0000, 0.5000) and Ge at (0.2500, 0.2500, 0.2500).

---

Entry 11:
Compound: LiCdCoGe
Source: OQMD
Functional: PBE
Structure: relaxed

The density comes out at 7.1 g/cm³. The value obtained for the energy is -56.6 eV for the cell shown. The size of the total moment is 3.96 Bohr magnetons per cell.

The structure belongs to space group F-43m (No. 216); the cell edges are 6.1588, 6.1588 and 6.1588 Å and the angles 90.00°, 90.00° and 90.00°. The inequivalent atoms are Li at (0.0000, 0.0000, 0.0000), Cd at (0.2500, 0.2500, 0.2500), Co at (0.2500, 0.2500, 0.7500) and Ge at (0.0000, 0.0000, 0.5000).

---

Entry 12:
Compound: LiZrTcMo
Source: OQMD
Functional: PBE
Structure: relaxed

The density comes out at 7.5 g/cm³. The value obtained for the energy is -125.3 eV for the cell shown. The size of the total moment is 0.01 Bohr magnetons per cell.

The structure belongs to space group F-43m (No. 216); the cell edges are 6.3684, 6.3684 and 6.3684 Å and the angles 90.00°, 90.00° and 90.00°. The inequivalent atoms are Li at (0.0000, 0.0000, 0.0000), Zr at (0.2500, 0.2500, 0.7500), Tc at (0.0000, 0.0000, 0.5000) and Mo at (0.2500, 0.2500, 0.2500).

---

Entry 13:
Compound: SbPPtO
Source: OQMD
Functional: PBE
Structure: relaxed

The density comes out at 9.2 g/cm³. The value obtained for the energy is -20.2 eV for the cell shown. The size of the total moment is 0.00 Bohr magnetons per cell.

The structure belongs to space group P4/mmm (No. 123); the cell edges are 3.7653, 3.7653 and 4.6294 Å and the angles 90.00°, 90.00° and 90.00°. The inequivalent atoms are Sb at (0.0000, 0.0000, 0.0000), P at (0.5000, 0.5000, 0.0000), Pt at (0.5000, 0.5000, 0.5000) and O at (0.0000, 0.0000, 0.5000).

---

Entry 14:
Compound: Al2Ni3
Source: OQMD
Functional: PBE
Structure: relaxed

The density comes out at 6.0 g/cm³. The value obtained for the energy is -148.2 eV for the cell shown. The size of the total moment is 0.00 Bohr magnetons per cell.

The structure belongs to space group R-3c (No. 167, hexagonal axes); the cell edges are 5.9823, 5.9823 and 12.3972 Å and the angles 90.00°, 90.00° and 120.00°. The inequivalent atoms are Al at (0.0000, 0.0000, 0.1023) and Ni at (0.0000, 0.2516, 0.2500).

---

Entry 15:
Compound: AcYNb
Source: OQMD
Functional: PBE
Structure: relaxed

The density comes out at 6.6 g/cm³. The size of the total moment is 11.53 Bohr magnetons per cell. The formation energy comes out at 18.5 kcal/mol of atoms.

The structure belongs to space group F-43m (No. 216); the cell edges are 7.4530, 7.4530 and 7.4530 Å and the angles 90.00°, 90.00° and 90.00°. The inequivalent atoms are Ac at (0.0000, 0.0000, 0.0000), Y at (0.0000, 0.0000, 0.5000) and Nb at (0.2500, 0.2500, 0.2500).

---

Entry 16:
Compound: SmLuAg2Pb2
Source: OQMD
Functional: PBE
Structure: relaxed

The density comes out at 10.6 g/cm³. The value obtained for the energy is -24.6 eV for the cell shown. The size of the total moment is 0.00 Bohr magnetons per cell.

The structure belongs to space group P3m1 (No. 156); the cell edges are 4.8084, 4.8084 and 7.4631 Å and the angles 90.00°, 90.00° and 120.00°. The inequivalent atoms are Sm at (0.0000, 0.0000, 0.0000), Lu at (0.0000, 0.0000, 0.5017), Ag at (0.3333, 0.6667, 0.6798), Ag at (0.6667, 0.3333, 0.1949), Pb at (0.3333, 0.6667, 0.2838) and Pb at (0.6667, 0.3333, 0.7764).

---

Entry 17:
Compound: Pt5S4
Source: OQMD
Functional: PBE
Structure: relaxed

The density comes out at 11.9 g/cm³. The value obtained for the energy is -99.0 eV for the cell shown. The size of the total moment is 0.00 Bohr magnetons per cell.

The structure belongs to space group P2_1/c (No. 14); the cell edges are 6.4799, 4.5128 and 10.7768 Å and the angles 90.00°, 101.52° and 90.00°. The inequivalent atoms are Pt at (0.0000, 0.0000, 0.0000), Pt at (0.2242, 0.1594, 0.6790), Pt at (0.3330, 0.6736, 0.9999), S at (0.0877, 0.1324, 0.3638) and S at (0.4920, 0.5403, 0.3562).

---

Entry 18:
Compound: Cu6Ag6Sb4Te12Se
Source: OQMD
Functional: PBE
Structure: relaxed

The density comes out at 6.1 g/cm³. The value obtained for the energy is -194.7 eV for the cell shown.

The structure belongs to space group I-43m (No. 217); the cell edges are 11.9666, 11.9666 and 11.9666 Å and the angles 90.00°, 90.00° and 90.00°. The inequivalent atoms are Cu at (0.0000, 0.0000, 0.2014), Ag at (0.0000, 0.2500, 0.5000), Sb at (0.2353, 0.2353, 0.2353), Te at (0.1091, 0.1091, 0.6510) and Se at (0.0000, 0.0000, 0.0000).

---

Entry 19:
Compound: HfCoC2
Source: OQMD
Functional: PBE
Structure: relaxed

The density comes out at 10.2 g/cm³. The value obtained for the energy is -34.4 eV for the cell shown. The size of the total moment is 0.00 Bohr magnetons per cell.

The structure belongs to space group P4/mmm (No. 123); the cell edges are 3.1336, 3.1336 and 4.3411 Å and the angles 90.00°, 90.00° and 90.00°. The inequivalent atoms are Hf at (0.0000, 0.0000, 0.0000), Co at (0.5000, 0.5000, 0.5000), C at (0.0000, 0.0000, 0.5000) and C at (0.5000, 0.5000, 0.0000).

---

Entry 20:
Compound: PuSb
Source: OQMD
Functional: PBE
Structure: relaxed

The density comes out at 10.8 g/cm³. The value obtained for the energy is -77.0 eV for the cell shown. The size of the total moment is 22.11 Bohr magnetons per cell.

The structure belongs to space group Pmma (No. 51); the cell edges are 6.2522, 5.9011 and 6.1207 Å and the angles 90.00°, 90.00° and 90.00°. The inequivalent atoms are Pu at (0.0000, 0.0000, 0.0000), Pu at (0.2500, 0.5000, 0.3113), Sb at (0.2500, 0.0000, 0.4899) and Sb at (0.2500, 0.5000, 0.8185).

---

Entry 21:
Compound: Dy4CBr2F3
Source: OQMD
Functional: PBE
Structure: relaxed

The density comes out at 7.5 g/cm³. The value obtained for the energy is -116.1 eV for the cell shown. The size of the total moment is 0.00 Bohr magnetons per cell.

The structure belongs to space group C2/m (No. 12); the cell edges are 16.5398, 3.5446 and 6.6601 Å and the angles 90.00°, 94.84° and 90.00°. The inequivalent atoms are Dy at (0.0230, 0.0000, 0.2455), Dy at (0.1387, 0.5000, 0.9274), C at (0.0000, 0.5000, 0.0000), Br at (0.1995, 0.0000, 0.2493), F at (0.0000, 0.5000, 0.5000) and F at (0.1137, 0.0000, 0.6979).

---

Entry 22:
Compound: ErNbSnC
Source: OQMD
Functional: PBE
Structure: relaxed

The density comes out at 8.7 g/cm³. The value obtained for the energy is -59.4 eV for the cell shown. The size of the total moment is 0.00 Bohr magnetons per cell.

The structure belongs to space group P-3m1 (No. 164); the cell edges are 3.4332, 3.4332 and 14.6867 Å and the angles 90.00°, 90.00° and 120.00°. The inequivalent atoms are Er at (0.3333, 0.6667, 0.4088), Nb at (0.3333, 0.6667, 0.0724), Sn at (0.3333, 0.6667, 0.7706), C at (0.0000, 0.0000, 0.0000) and C at (0.0000, 0.0000, 0.5000).

---

Entry 23:
Compound: YHo3Pb2N2
Source: OQMD
Functional: PBE
Structure: relaxed

The density comes out at 10.1 g/cm³. The value obtained for the energy is -53.1 eV for the cell shown. The size of the total moment is 0.02 Bohr magnetons per cell.

The structure belongs to space group P3m1 (No. 156); the cell edges are 3.5370, 3.5370 and 15.5370 Å and the angles 90.00°, 90.00° and 120.00°. The inequivalent atoms are Y at (0.0000, 0.0000, 0.0000), Ho at (0.0000, 0.0000, 0.6670), Ho at (0.6667, 0.3333, 0.1671), Ho at (0.6667, 0.3333, 0.5009), Pb at (0.0000, 0.0000, 0.3341), Pb at (0.6667, 0.3333, 0.8332), N at (0.3333, 0.6667, 0.0858) and N at (0.3333, 0.6667, 0.5839).